No. 1
DFT (PBE) results for crystalline TaNiPd2 at its relaxed geometry.

For the energy relative to the lowest polymorph listed for this composition, the calculation gives 178 meV per atom.

Cell lengths 3.937, 3.870, 3.870 Å; angles 90.00, 90.00, 90.00 degrees
Each line ends with the local moment (μB).
Sites, in units of the cell vectors:
Ni 0.500 0.000 0.000  0.18
Pd 0.000 0.000 0.500  0.05
Pd 0.000 0.500 0.000  0.05
Ta 0.500 0.500 0.500  0.28


No. 2
DFT (PBE) results for crystalline HoCuPtAu at its relaxed geometry.

The calculation puts the electronic total energy at -5.12 eV/atom.

Cell lengths 4.707, 4.707, 4.707 Å; angles 60.00, 60.00, 60.00 degrees
Sites, in units of the cell vectors:
Cu 0.500 0.500 0.500
Au 0.250 0.250 0.250
Pt 0.750 0.750 0.750
Ho 0.000 0.000 0.000


No. 3
DFT (PBE) results for crystalline BeTe2Ir at its relaxed geometry.

The energy relative to the elements, uncorrected comes out at 0.411 eV/atom.

Cell lengths 3.820, 4.826, 4.826 Å; angles 74.06, 90.00, 90.00 degrees
Sites, in units of the cell vectors:
Ir 0.500 0.750 0.750
Te 0.000 0.985 0.985
Te 0.000 0.515 0.515
Be 0.500 0.250 0.250


| no. | D(E_F) (states/eV/f.u.) |
| --- | --- |
| 1 | 5.62 |
| 2 | 1.17 |
| 3 | 0.93 |